Computed, not measured: a geometry-optimized LiFePbO3 structure at the PBE with a Hubbard U level of DFT.

The calculation puts the calculated total energy at -5.75 eV/atom. For the magnetization, the calculation gives 5.00 μB/f.u. For the volume, the calculation gives 13.60 Å³/atom. As for the crystal system: triclinic. The offset from the most stable computed form comes out at 0.0 kJ per mole of atoms.

The structure belongs to space group P1 (No. 1); the cell edges are 3.4524, 4.0331 and 6.0773 Å and the angles 105.38°, 90.27° and 90.06°. The distinct sites, in fractional coordinates, are Li at (0.0000, 0.0000, 0.0000), Fe at (0.5011, 0.5699, 0.1567), Pb at (0.0003, 0.2831, 0.5459), O at (0.9998, 0.4940, 0.9817), O at (0.5018, 0.0644, 0.1588) and O at (0.5031, 0.6767, 0.4934).